# PaH8Ir2Au (PBE-GGA, optimized geometry)
data_PaH8Ir2Au
_space_group_name_H-M_alt 'C 1 2/m 1'
_space_group_IT_number 12
_cell_length_a 9.128
_cell_length_b 4.246
_cell_length_c 5.870
_cell_angle_alpha 90.00
_cell_angle_beta 110.48
_cell_angle_gamma 90.00
loop_
_space_group_symop_operation_xyz
'x,y,z'
'-x,-y,-z'
'-x,y,-z'
'x,-y,z'
'x+1/2,y+1/2,z'
'-x+1/2,-y+1/2,-z'
'-x+1/2,y+1/2,-z'
'x+1/2,-y+1/2,z'
loop_
_atom_site_label
_atom_site_type_symbol
_atom_site_fract_x
_atom_site_fract_y
_atom_site_fract_z
Pa1 Pa 0.000 0.000 0.000
H1 H 0.122 0.500 0.011
H2 H 0.148 0.247 0.769
H3 H 0.175 0.000 0.383
Ir1 Ir 0.234 0.500 0.304
Au1 Au 0.000 0.500 0.500
# Total magnetic moment, μB per formula unit: 0.0
# E, eV/atom: -4.79
# N(E_F), states/eV per cell: 7.101